## one
## SmZn3Au3 (PBE-GGA)

Data for a relaxed structure of SmZn3Au3.

a = 7.0877 Å, b = 7.0877 Å, c = 7.5094 Å
α = 61.84°, β = 61.84°, γ = 60.00°
Element x y z (fractional)
Au (0.8290, 0.3073, 0.7917)
Au (0.0720, 0.8290, 0.7917)
Au (0.1710, 0.6927, 0.2083)
Au (0.6927, 0.9280, 0.2083)
Au (0.3073, 0.0720, 0.7917)
Au (0.9280, 0.1710, 0.2083)
Sm (0.3388, 0.3388, 0.9835)
Sm (0.6612, 0.6612, 0.0165)
Zn (0.4553, 0.2738, 0.3773)
Zn (0.8936, 0.4553, 0.3773)
Zn (0.5447, 0.7262, 0.6227)
Zn (0.1064, 0.5447, 0.6227)
Zn (0.7262, 0.1064, 0.6227)
Zn (0.2738, 0.8936, 0.3773)



## two
## SmZn3Au3 (PBE-GGA)

Data for a relaxed structure of SmZn3Au3.

a = 8.5797 Å, b = 8.5797 Å, c = 8.5797 Å
α = 60.00°, β = 60.00°, γ = 60.00°
Element x y z (fractional)
Zn (0.8538, 0.8538, 0.1462)
Zn (0.1462, 0.1462, 0.8538)
Zn (0.1462, 0.8538, 0.8538)
Zn (0.8538, 0.1462, 0.1462)
Zn (0.1462, 0.8538, 0.1462)
Zn (0.8538, 0.1462, 0.8538)
Sm (0.7500, 0.7500, 0.7500)
Sm (0.2500, 0.2500, 0.2500)
Au (0.6613, 0.6613, 0.3387)
Au (0.3387, 0.3387, 0.6613)
Au (0.3387, 0.6613, 0.3387)
Au (0.6613, 0.3387, 0.6613)
Au (0.3387, 0.6613, 0.6613)
Au (0.6613, 0.3387, 0.3387)



Least stable of them? two.